(1)
# KSiP2 | Alexandria | PBE-GGA | optimized geometry
data_KSiP2
_space_group_name_H-M_alt 'R 3 m'
_space_group_IT_number 160
_space_group_name_Hall 'R 3 -2"'
_cell_length_a 3.4266
_cell_length_b 3.4266
_cell_length_c 24.7106
_cell_angle_alpha 90.00
_cell_angle_beta 90.00
_cell_angle_gamma 120.00
loop_
_atom_site_label
_atom_site_type_symbol
_atom_site_fract_x
_atom_site_fract_y
_atom_site_fract_z
_atom_site_occupancy
K1 K 0.0000 0.0000 0.0000 1
Si1 Si 0.0000 0.0000 0.7789 1
P1 P 0.0000 0.0000 0.2265 1
P2 P 0.0000 0.0000 0.5049 1
# - ΔE_f (raw) (meV/atom) = 241
# - M_tot (μB per formula unit) = 0.00
# - ΔE to the lowest computed polymorph (meV per atom) = 346

***

(2)
# KTaSiP2 | Alexandria | PBE-GGA | optimized geometry
data_KTaSiP2
_space_group_name_H-M_alt 'P 4/m m m'
_space_group_IT_number 123
_space_group_name_Hall '-P 4 2'
_cell_length_a 5.056
_cell_length_b 5.056
_cell_length_c 4.968
_cell_angle_alpha 90.00
_cell_angle_beta 90.00
_cell_angle_gamma 90.00
loop_
_atom_site_label
_atom_site_type_symbol
_atom_site_fract_x
_atom_site_fract_y
_atom_site_fract_z
_atom_site_occupancy
K1 K 0.000 0.000 0.000 1
Ta1 Ta 0.000 0.000 0.500 1
Si1 Si 0.500 0.500 0.500 1
P1 P 0.000 0.500 0.000 1
# - ΔE_f (raw) (meV/atom) = 2704
# - M_tot (μB per formula unit) = 1.77